Crystalline Ba2NaIr at its relaxed geometry. Source: Alexandria, functional GGA-PBE.

a b c (Å): 11.691 11.691 11.691
angles (deg): 22.04 22.04 22.04
Atoms (fractional coordinates):
Ba 0.118 0.118 0.118
Ba 0.882 0.882 0.882
Na 0.000 0.000 0.000
Ir 0.500 0.500 0.500

Properties
The raw total energy is -13.92 eV/cell. For the calculated density, the calculation gives 4.1 g cm⁻³. As for the formation energy from the elements: 0.105 eV per formula unit. The relative energy among the computed polymorphs comes out at 116 meV per atom. The volume comes out at 197 Å³ per cell.